# ZnCdSnO4 | Alexandria via LeMat-Bulk | GGA-PBE | optimized geometry
data_ZnCdSnO4
_chemical_formula_sum 'Zn4 Cd4 Sn4 O16'
_cell_length_a 6.278
_cell_length_b 6.489
_cell_length_c 9.198
_cell_angle_alpha 90.00
_cell_angle_beta 90.00
_cell_angle_gamma 90.00
_symmetry_space_group_name_H-M 'I m m a'
_symmetry_Int_Tables_number 74
_symmetry_space_group_name_Hall '-I 2b 2'
loop_
_atom_site_label
_atom_site_fract_x
_atom_site_fract_y
_atom_site_fract_z
_atom_site_occupancy
Zn1 0.000 0.250 0.145 1
Cd1 0.250 0.250 0.750 1
Sn1 0.000 0.000 0.500 1
O1 0.000 0.002 0.275 1
O2 0.229 0.250 0.494 1
# Crystal system: orthorhombic
# Formation energy (no corrections), eV per formula unit: -9.566
# DOS(E_F), states/eV/f.u.: 0.0
# Size of the total moment, μB/f.u.: 0.00
# Total energy, eV per atom: -5.084